A plane-wave DFT calculation with PBE was carried out for crystalline Zr2TcOs at its relaxed geometry.

```
data_Zr2TcOs
_space_group_name_H-M_alt 'P 1 2/m 1'
_space_group_IT_number 10
_space_group_name_Hall '-P 2y'
_cell_length_a 2.967
_cell_length_b 4.354
_cell_length_c 5.561
_cell_angle_alpha 90.00
_cell_angle_beta 97.72
_cell_angle_gamma 90.00
loop_
_atom_site_label
_atom_site_type_symbol
_atom_site_fract_x
_atom_site_fract_y
_atom_site_fract_z
_atom_site_occupancy
Zr1 Zr 0.241 0.000 0.249 1
Tc1 Tc 0.000 0.500 0.500 1
Os1 Os 0.500 0.500 0.000 1
```

Values from the calculation:
Calculated total energy = -0.3595 hartree per atom
ΔE_f = -0.44 eV per formula unit
Calculated density = 11.0 Mg/m³